1.
A plane-wave DFT calculation with PBE-GGA was carried out for crystalline Cr2Cd2Pt at its relaxed geometry.

Summary:
The calculated formation energy comes out at 3.3 eV/f.u. Its energy above the lowest structure with this stoichiometry is 1.53 eV/f.u. The crystal system is tetragonal. Its total energy is -4.764 eV/atom.

Geometry as POSCAR:
```
Cr2Cd2Pt
1.0
3.853 0.000 0.000
0.000 3.853 0.000
0.000 0.000 12.250
Cr Cd Pt
4 4 2
Cartesian
0.000 0.000 0.888
0.000 0.000 11.361
1.926 1.926 5.236
1.926 1.926 7.013
0.000 1.926 3.062
0.000 1.926 9.187
1.926 0.000 3.062
1.926 0.000 9.187
0.000 0.000 6.125
1.926 1.926 0.000
```

2.
A plane-wave DFT calculation with PBE-GGA was carried out for crystalline Ni3Rh7 at its relaxed geometry.

Summary:
The calculated formation energy comes out at 0.4 eV/f.u. Its energy above the lowest structure with this stoichiometry is 0.00 eV/f.u. The crystal system is triclinic. Its total energy is -6.839 eV/atom.

Geometry as POSCAR:
```
Ni3Rh7
1.0
4.586 0.000 0.000
-0.729 7.063 0.000
-1.636 -2.736 8.238
Ni Rh
6 14
Cartesian
-0.415 -0.058 2.243
-1.225 -0.125 6.810
-1.225 2.420 7.623
3.445 1.907 0.615
3.445 4.452 1.428
2.635 4.385 5.995
-0.422 2.493 3.039
-0.419 5.061 3.887
1.126 0.642 0.172
0.330 0.546 4.729
1.142 3.183 0.992
0.335 3.121 5.590
1.143 5.723 1.824
1.077 -1.395 6.414
1.886 1.207 2.648
1.079 1.144 7.246
1.890 3.782 3.509
1.095 3.685 8.066
2.639 -0.734 4.351
2.643 1.834 5.199
```

3.
A plane-wave DFT calculation with PBE-GGA was carried out for crystalline Al2IrOs at its relaxed geometry.

Summary:
The calculated formation energy comes out at -0.8 eV/f.u. Its energy above the lowest structure with this stoichiometry is 2.04 eV/f.u. The crystal system is trigonal. Its total energy is -7.089 eV/atom.

Geometry as POSCAR:
```
Al2IrOs
1.0
2.823 0.000 0.000
-1.412 2.445 0.000
0.000 0.000 25.557
Al Ir Os
6 3 3
Cartesian
0.000 0.000 0.000
0.000 0.000 6.240
0.000 1.630 17.038
0.000 1.630 23.278
1.412 0.815 8.519
1.412 0.815 14.759
0.000 0.000 19.035
0.000 1.630 10.516
1.412 0.815 1.997
0.000 0.000 12.717
0.000 1.630 4.198
1.412 0.815 21.236
```

4.
A plane-wave DFT calculation with PBE-GGA was carried out for crystalline Cs2OsRhCl6 at its relaxed geometry.

Summary:
The crystal system is cubic. The uncorrected formation energy is -7.88 eV/f.u. Its total energy is -3.924 eV/atom.

Geometry as POSCAR:
```
Cs2OsRhCl6
1.0
0.000 5.066 5.066
5.066 0.000 5.066
5.066 5.066 0.000
Cs Os Rh Cl
2 1 1 6
Cartesian
2.533 2.533 2.533
7.599 7.599 7.599
0.000 0.000 0.000
5.066 5.066 5.066
5.066 5.066 2.423
5.066 2.423 5.066
7.709 5.066 5.066
2.423 5.066 5.066
5.066 7.709 5.066
5.066 5.066 7.709
```

5.
A plane-wave DFT calculation with PBE-GGA was carried out for crystalline ScN3F6 at its relaxed geometry.

Summary:
Its energy above the lowest structure with this stoichiometry is 0.00 eV/f.u. The crystal system is monoclinic. The uncorrected formation energy is -4.98 eV/f.u. Its total energy is -4.751 eV/atom.

Geometry as POSCAR:
```
ScN3F6
1.0
5.161 -3.625 0.000
5.161 3.625 0.000
-4.894 0.000 5.302
Sc N F
1 3 6
Cartesian
0.000 0.000 0.000
3.212 1.681 2.221
0.749 0.000 4.660
3.212 -1.681 2.221
0.529 0.000 1.791
0.973 1.988 4.437
-0.582 0.000 4.458
5.751 0.000 0.700
0.973 -1.988 4.437
3.567 0.000 5.135
```